one) Density functional theory data (PBE-GGA) for an optimized crystal structure of Gd2YCu.

Results
Space-group type: P4/mmm, No. 123
Density of states at the Fermi level in states/eV per cell: 6.0

Cell: 3.541 3.541 8.693 Å, 90.00 90.00 90.00°
Atoms (fractional coordinates):
1 Gd 0.000 0.000 0.198
2 Gd 0.000 0.000 0.802
3 Y 0.500 0.500 0.500
4 Cu 0.500 0.500 0.000

---

two) Density functional theory data (PBE-GGA) for an optimized crystal structure of Gd2YCu.

Results
Space-group type: R-3m, No. 166
Density of states at the Fermi level in states/eV per cell: 5.3

Cell: 10.198 10.198 10.198 Å, 20.48 20.48 20.48°
Atoms (fractional coordinates):
1 Gd 0.235 0.235 0.235
2 Gd 0.765 0.765 0.765
3 Y 0.000 0.000 0.000
4 Cu 0.500 0.500 0.500

---

Result of the stability comparison: two) is the least stable of them.